Below is crystalline NaCoPO4 at its relaxed geometry, with properties calculated at the GGA+U level.

Unit cell a=8.0209 b=9.0610 c=4.8209 alpha=90.00 beta=90.00 gamma=90.00
Last column: nearest neighbours and their distance in Å.
Fractional positions:
1 Co 0.3385 0.0274 0.4877  4 O 1.93-2.02
2 Co 0.8385 0.4726 0.4877  4 O 1.93-2.02
3 Co 0.1615 0.5274 0.9877  4 O 1.93-2.02
4 Co 0.6615 0.9726 0.9877  4 O 1.93-2.02
5 Na 0.4751 0.6674 0.4991  4 O 2.29-2.56
6 Na 0.9751 0.8326 0.4991  4 O 2.29-2.56
7 Na 0.0249 0.1674 0.9991  4 O 2.29-2.56
8 Na 0.5249 0.3326 0.9991  4 O 2.29-2.56
9 O 0.2738 0.6968 0.1446  1 P 1.54
10 O 0.7738 0.8032 0.1446  1 P 1.54
11 O 0.9374 0.5694 0.1481  1 P 1.58
12 O 0.4374 0.9306 0.1481  1 P 1.58
13 O 0.6352 0.5471 0.1729  1 P 1.54
14 O 0.1352 0.9529 0.1729  1 P 1.54
15 O 0.7349 0.1472 0.2170  1 P 1.55
16 O 0.2349 0.3528 0.2170  1 P 1.55
17 O 0.2262 0.1968 0.6446  1 P 1.54
18 O 0.7262 0.3032 0.6446  1 P 1.54
19 O 0.5626 0.0694 0.6481  1 P 1.58
20 O 0.0626 0.4306 0.6481  1 P 1.58
21 O 0.8648 0.0471 0.6729  1 P 1.54
22 O 0.3648 0.4529 0.6729  1 P 1.54
23 O 0.7651 0.6472 0.7170  1 P 1.55
24 O 0.2651 0.8528 0.7170  1 P 1.55
25 P 0.7711 0.6428 0.0381  4 O 1.54-1.58
26 P 0.2711 0.8572 0.0381  4 O 1.54-1.58
27 P 0.7289 0.1427 0.5381  4 O 1.54-1.58
28 P 0.2289 0.3572 0.5381  4 O 1.54-1.58

Output
- DFT total energy: -6.463 eV per atom